{
  "formula": "ZrHPd",
  "functional": "PBE",
  "state": "relaxed",
  "sg": "P4/nmm (129)",
  "relative_energy_ev_per_atom": 0.000,
  "m_tot_mub_per_cell": 0.0,
  "lattice": [[3.4729, -0.0001, -0.6160], [0.0002, 3.5264, 0.0005], [1.1235, -0.0010, 6.3294]],
  "species": ["Zr", "Zr", "Pd", "Pd", "H", "H"],
  "frac_coords": [[0.8649, 0.6155, 0.3698], [0.3652, 0.1155, 0.0158], [0.8652, 0.6155, 0.8101], [0.3650, 0.1155, 0.5755], [0.8650, 0.1155, 0.1929], [0.3651, 0.6154, 0.1928]]
}

{
  "formula": "SmTaTiN3",
  "functional": "PBE",
  "state": "relaxed",
  "sg": "P2_1/m (11)",
  "formation_energy_uncorrected_mev_per_atom": -1425,
  "m_tot_mub_per_cell": 0.0,
  "lattice": [[-0.4739, -0.5809, -3.0874], [4.4073, -3.3759, -0.0413], [-6.2987, -5.1268, 1.9315]],
  "species": ["Sm", "N", "N", "Ti", "N", "N", "Ti", "Ta", "N", "Sm", "Ta", "N"],
  "frac_coords": [[0.7500, 0.6504, 0.6907], [0.2500, 0.4377, 0.8487], [0.2500, 0.7680, 0.4895], [0.7500, 0.8733, 0.3613], [0.7500, 0.5623, 0.1513], [0.7500, 0.0333, 0.1455], [0.2500, 0.1267, 0.6387], [0.2500, 0.7651, 0.0499], [0.2500, 0.9667, 0.8545], [0.2500, 0.3496, 0.3093], [0.7500, 0.2349, 0.9501], [0.7500, 0.2320, 0.5105]]
}

{
  "formula": "LaAgCl2",
  "functional": "PBE",
  "state": "relaxed",
  "sg": "I-4m2 (119)",
  "relative_energy_ev_per_atom": 0.157,
  "formation_energy_uncorrected_mev_per_atom": -1155,
  "m_tot_mub_per_cell": 0.0,
  "lattice": [[5.5761, 0.0033, 0.0000], [1.9202, 5.2351, 0.0000], [-3.7482, -2.6192, 3.1913]],
  "species": ["La", "Cl", "Cl", "Ag"],
  "frac_coords": [[0.5000, 0.5000, 0.0000], [0.0000, 0.0000, 0.0000], [0.2500, 0.7500, 0.5000], [0.7500, 0.2500, 0.5000]]
}

{
  "formula": "Pm9Pr2Mg",
  "functional": "PBE",
  "state": "relaxed",
  "sg": "P4/mmm (123)",
  "m_tot_mub_per_cell": 0.0,
  "formation_energy_mev_per_atom": 16,
  "lattice": [[5.1230, 0.0000, 0.0000], [0.0000, 5.1230, 0.0000], [0.0000, 0.0000, 15.4546]],
  "species": ["Pm", "Pm", "Pm", "Pm", "Mg", "Pm", "Pr", "Pr", "Pm", "Pm", "Pm", "Pm"],
  "frac_coords": [[0.5000, 0.0000, 0.5000], [0.5000, 0.5000, 0.6708], [0.5000, 0.5000, 0.3292], [0.5000, 0.0000, 0.8377], [0.0000, 0.0000, 0.0000], [0.0000, 0.5000, 0.8377], [0.0000, 0.0000, 0.6705], [0.0000, 0.0000, 0.3295], [0.0000, 0.5000, 0.1623], [0.0000, 0.5000, 0.5000], [0.5000, 0.0000, 0.1623], [0.5000, 0.5000, 0.0000]]
}

{
  "formula": "TbTiCoIr",
  "functional": "PBE",
  "state": "relaxed",
  "sg": "F-43m (216)",
  "m_tot_mub_per_cell": 0.9,
  "formation_energy_mev_per_atom": -392,
  "lattice": [[-0.9205, 3.5288, 2.7798], [-4.2463, 0.5898, 1.6272], [-0.8787, -0.7461, 4.4382]],
  "species": ["Ir", "Tb", "Ti", "Co"],
  "frac_coords": [[0.2500, 0.2500, 0.2500], [0.0000, 0.0000, 0.0000], [0.5000, 0.5000, 0.5000], [0.7500, 0.7500, 0.7500]]
}

{
  "formula": "ReNiTe2",
  "functional": "PBE",
  "state": "relaxed",
  "sg": "C2/m (12)",
  "relative_energy_ev_per_atom": 0.438,
  "formation_energy_uncorrected_mev_per_atom": 543,
  "m_tot_mub_per_cell": 0.3,
  "lattice": [[4.3635, 0.0018, -0.0188], [3.0513, 3.1192, -0.0188], [0.9761, 0.4108, 5.6353]],
  "species": ["Ni", "Te", "Re", "Te"],
  "frac_coords": [[0.7500, 0.7500, 0.7500], [0.9840, 0.9840, 0.0035], [0.2500, 0.2500, 0.2500], [0.5160, 0.5160, 0.4965]]
}